{"formula": "ZnGaBi2O6", "functional": "GGA-PBE", "state": "optimized geometry", "spacegroup": "R3", "raw_formation_energy_kj_per_mol_atoms": -124.31, "vol_a3_per_atom": 13.1, "magmom_total_mub_per_atom": 0.095, "dft_energy_ev_per_cell": -54.7, "lattice": [[5.601, 0.000, 0.000], [2.800, 4.850, 0.000], [2.800, 1.617, 4.822]], "species": ["Bi", "Bi", "O", "O", "O", "O", "O", "O", "Zn", "Ga"], "fractional_positions": [[0.533, 0.533, 0.401], [0.024, 0.024, 0.929], [0.992, 0.594, 0.249], [0.453, 0.672, 0.763], [0.165, 0.992, 0.249], [0.672, 0.111, 0.763], [0.111, 0.453, 0.763], [0.594, 0.165, 0.249], [0.804, 0.804, 0.588], [0.313, 0.313, 0.060]]}